Entry 1:
FeHRh3 | Alexandria via LeMat-Bulk | GGA-PBE | optimized geometry; volume = 111 Å³ per cell; calculated total energy = -6.686 eV/atom; excess energy over the best structure of this formula in the dataset = 0.137 eV/atom; calculated density = 11.0 g/cm3; density of states at the Fermi level = 12.31 states/eV/cell
1.0
4.671 0.000 0.000
0.000 5.379 0.000
-1.573 0.000 4.407
Fe H Rh
2 2 6
direct
0.000 0.129 0.000
0.000 0.871 0.500
0.208 0.101 0.752
0.208 0.899 0.252
0.009 0.374 0.499
0.009 0.626 0.999
0.516 0.374 0.003
0.516 0.626 0.503
0.519 0.124 0.506
0.519 0.876 0.006


Entry 2:
Fe3H4Rh | Alexandria via LeMat-Bulk | GGA-PBE | optimized geometry; volume = 57 Å³ per cell; calculated total energy = -5.783 eV/atom; excess energy over the best structure of this formula in the dataset = 0.000 eV/atom; calculated density = 8.0 g/cm3; density of states at the Fermi level = 2.47 states/eV/cell
1.0
3.856 0.000 0.000
0.000 3.856 0.000
0.000 0.000 3.856
Fe H Rh
3 4 1
direct
0.000 0.000 0.500
0.000 0.500 0.000
0.500 0.000 0.000
0.000 0.000 0.000
0.000 0.500 0.500
0.500 0.000 0.500
0.500 0.500 0.000
0.500 0.500 0.500